1.
## Tm4HIr2 (GGA-PBE)

Data for Tm4HIr2 after structural relaxation.

- VASP energy (eV per formula unit) = -43.5

Structure (CIF):
```
data_Tm4HIr2
_chemical_formula_sum 'Tm8 H2 Ir4'
_cell_length_a 4.4503
_cell_length_b 4.4503
_cell_length_c 14.4392
_cell_angle_alpha 90.00
_cell_angle_beta 90.00
_cell_angle_gamma 90.00
_symmetry_space_group_name_H-M 'I 4/m m m'
_symmetry_Int_Tables_number 139
_symmetry_space_group_name_Hall '-I 4 2'
loop_
_atom_site_label
_atom_site_type_symbol
_atom_site_fract_x
_atom_site_fract_y
_atom_site_fract_z
Tm1 Tm 0.0000 0.0000 0.1855
Tm2 Tm 0.0000 0.5000 0.0000
H1 H 0.0000 0.0000 0.0000
Ir1 Ir 0.0000 0.0000 0.3729
```

2.
## TmZnH6Ir2 (GGA-PBE)

Data for TmZnH6Ir2 after structural relaxation.

- VASP energy (eV per formula unit) = -46.7

Structure (CIF):
```
data_TmZnH6Ir2
_chemical_formula_sum 'Tm3 Zn3 H18 Ir6'
_cell_length_a 4.4642
_cell_length_b 4.4642
_cell_length_c 15.5613
_cell_angle_alpha 90.00
_cell_angle_beta 90.00
_cell_angle_gamma 120.00
_symmetry_space_group_name_H-M 'R -3 m'
_symmetry_Int_Tables_number 166
_symmetry_space_group_name_Hall '-R 3 2"'
loop_
_atom_site_label
_atom_site_type_symbol
_atom_site_fract_x
_atom_site_fract_y
_atom_site_fract_z
Tm1 Tm 0.0000 0.0000 0.0000
Zn1 Zn 0.0000 0.0000 0.5000
H1 H 0.0021 0.5011 0.9442
Ir1 Ir 0.0000 0.0000 0.2113
```

3.
## UH4Ir (GGA-PBE)

Data for UH4Ir after structural relaxation.

- VASP energy (eV per formula unit) = -34.5

Structure (CIF):
```
data_UH4Ir
_chemical_formula_sum 'U4 H16 Ir4'
_cell_length_a 3.8397
_cell_length_b 11.8481
_cell_length_c 4.8445
_cell_angle_alpha 90.00
_cell_angle_beta 90.00
_cell_angle_gamma 90.00
_symmetry_space_group_name_H-M 'C m c m'
_symmetry_Int_Tables_number 63
_symmetry_space_group_name_Hall '-C 2c 2'
loop_
_atom_site_label
_atom_site_type_symbol
_atom_site_fract_x
_atom_site_fract_y
_atom_site_fract_z
U1 U 0.0000 0.1194 0.2500
H1 H 0.0000 0.1059 0.7500
H2 H 0.0000 0.2983 0.5403
H3 H 0.0000 0.5000 0.0000
Ir1 Ir 0.0000 0.3831 0.2500
```